First-principles (PBE-GGA) data for a geometry-optimized La2TmZn structure, as listed in Alexandria via LeMat-Bulk.

abc: 5.510 5.510 5.510
angles: 60.00 60.00 60.00
Sites, in units of the cell vectors:
Zn  0.000  0.000  0.000
Tm  0.500  0.500  0.500
La  0.250  0.250  0.250
La  0.750  0.750  0.750

## Properties
- ΔH_f (0 K) (eV/atom) = -0.01
- crystal system = cubic
- symmetry = Fm-3m (225)
- volume (Å³/cell) = 118



First-principles (PBE-GGA) data for a geometry-optimized La2TmZn structure, as listed in Alexandria via LeMat-Bulk.

abc: 5.188 5.188 9.512
angles: 105.83 105.83 90.00
Sites, in units of the cell vectors:
La  0.000  0.500  0.000
La  0.500  0.000  0.000
La  0.356  0.356  0.712
La  0.644  0.644  0.288
Tm  0.152  0.152  0.304
Tm  0.848  0.848  0.696
Zn  0.250  0.750  0.500
Zn  0.750  0.250  0.500

## Properties
- ΔH_f (0 K) (eV/atom) = -0.15
- crystal system = tetragonal
- symmetry = I4/mmm (139)
- volume (Å³/cell) = 236



First-principles (PBE-GGA) data for a geometry-optimized LaTm2Zn structure, as listed in Alexandria via LeMat-Bulk.

abc: 3.587 3.587 10.576
angles: 80.24 80.24 60.00
Sites, in units of the cell vectors:
La  0.501  0.501  0.498
Tm  0.069  0.069  0.794
Tm  0.264  0.264  0.207
Zn  0.666  0.666  0.002

## Properties
- ΔH_f (0 K) (eV/atom) = -0.04
- crystal system = trigonal
- symmetry = R3m (160)
- volume (Å³/cell) = 116



no.,size of the total moment (μB per atom),E above lowest polymorph (eV/atom)
1,0.0007,0.144
2,0.0000,0.000
3,0.0003,0.114